Record 1
First-principles (PBE) data for an optimized crystal structure of YSi2Se4, as listed in Alexandria via LeMat-Bulk.

abc: 7.548 7.548 6.620
angles: 90.00 90.00 90.00
Space group I4/m (No. 87)
Asymmetric unit:
Y (0.000, 0.000, 0.000) [2 per cell]
Si (0.000, 0.500, 0.250) [4 per cell]
Se (0.172, 0.316, 0.500) [8 per cell]

The calculation puts the density of states at the Fermi level at 0.423 states/eV per atom. The uncorrected formation energy is -388 meV per atom. For the calculated volume, the calculation gives 26.94 Å³ per atom. As for the total energy: -67.930 eV for the cell shown.

=====

Record 2
First-principles (PBE) data for an optimized crystal structure of Be2InNi, as listed in Alexandria via LeMat-Bulk.

abc: 5.227 8.308 2.734
angles: 90.00 119.74 90.00
Space group C2/m (No. 12)
Asymmetric unit:
Be (0.250, 0.250, 0.000) [4 per cell]
In (0.000, 0.000, 0.500) [2 per cell]
Ni (0.000, 0.500, 0.500) [2 per cell]

The calculation puts the density of states at the Fermi level at 0.421 states/eV per atom. For the calculated volume, the calculation gives 12.89 Å³ per atom. As for the total energy: -29.249 eV for the cell shown.

=====

Record 3
First-principles (PBE) data for an optimized crystal structure of TbPr14Er, as listed in Alexandria via LeMat-Bulk.

abc: 7.376 7.376 10.455
angles: 90.00 90.00 90.00
Space group P4/mmm (No. 123)
Asymmetric unit:
Tb (0.000, 0.000, 0.000) [1 per cell]
Pr (0.000, 0.000, 0.500) [1 per cell]
Pr (0.000, 0.500, 0.000) [2 per cell]
Pr (0.000, 0.500, 0.500) [2 per cell]
Pr (0.250, 0.250, 0.247) [8 per cell]
Pr (0.500, 0.500, 0.500) [1 per cell]
Er (0.500, 0.500, 0.000) [1 per cell]

The calculation puts the density of states at the Fermi level at 1.586 states/eV per atom. For the calculated volume, the calculation gives 35.55 Å³ per atom. As for the total energy: -75.898 eV for the cell shown.